(1)
Entry from the Alexandria database: crystalline Cd2MoCl at its relaxed geometry (PBE).

Cell: 3.0438 3.0438 10.9733 Å, 90.00 90.00 120.62°
With the nearest neighbours (Å) after each atom.
Element x y z (fractional)
Cd1 0.0000 0.0000 0.9661  2 Mo 2.91, 8 Cd 3.02-3.22
Cd2 0.5000 0.5000 0.2259  8 Cd 3.02-3.22
Cl1 0.0000 0.0000 0.5683  2 Mo 2.41
Mo1 0.5000 0.5000 0.7397  2 Cl 2.41

Results
Energy above the lowest structure with this stoichiometry in eV/atom: 0.016
Crystal system: orthorhombic

=====

(2)
Entry from the Alexandria database: crystalline As2WSe at its relaxed geometry (PBE).

Cell: 4.7882 4.7882 3.1856 Å, 90.00 90.00 107.78°
With the nearest neighbours (Å) after each atom.
Element x y z (fractional)
As1 0.0000 0.0000 0.0000  2 As 2.82, 4 Se 2.88, 4 W 2.88
As2 0.5000 0.5000 0.0000  2 As 2.82, 4 W 2.88, 4 Se 2.88
Se1 0.5000 0.0000 0.5000  2 W 2.82, 8 As 2.88
W1 0.0000 0.5000 0.5000  2 Se 2.82, 8 As 2.88

Results
VASP energy in Ry per atom: -0.4210
Crystal system: orthorhombic

=====

(3)
Entry from the Alexandria database: crystalline TiInPt4 at its relaxed geometry (PBE).

Cell: 3.8974 5.5571 9.7458 Å, 90.00 101.53 90.00°
With the nearest neighbours (Å) after each atom.
Element x y z (fractional)
Ti1 0.4227 0.2500 0.8454  11 Pt 2.72-2.81
Ti2 0.5773 0.7500 0.1546  11 Pt 2.72-2.81
In1 0.7289 0.2500 0.4579  7 Pt 2.74-3.03
In2 0.2711 0.7500 0.5421  7 Pt 2.74-3.03
Pt1 0.0000 0.0000 0.0000  8 Pt 2.74-2.80, 4 Ti 2.81
Pt2 0.0000 0.5000 0.0000  8 Pt 2.74-2.80, 4 Ti 2.81
Pt3 0.1466 0.9963 0.2932  2 Ti 2.72, 5 Pt 2.74-2.82, 3 In 2.74-2.87
Pt4 0.8534 0.4963 0.7068  2 Ti 2.72, 5 Pt 2.74-2.82, 3 In 2.74-2.87
Pt5 0.1466 0.5037 0.2932  2 Ti 2.72, 5 Pt 2.74-2.82, 3 In 2.74-2.87
Pt6 0.8534 0.0037 0.7068  2 Ti 2.72, 5 Pt 2.74-2.82, 3 In 2.74-2.87
Pt7 0.5700 0.2500 0.1400  8 Pt 2.74-2.82, 3 Ti 2.78-2.81, 1 In 3.03
Pt8 0.4300 0.7500 0.8600  8 Pt 2.74-2.82, 3 Ti 2.78-2.81, 1 In 3.03

Results
Formation energy in eV/atom: -0.700
Crystal system: orthorhombic

=====

Please write out number 1 again, unchanged.
Entry from the Alexandria database: crystalline Cd2MoCl at its relaxed geometry (PBE).

Cell: 3.0438 3.0438 10.9733 Å, 90.00 90.00 120.62°
With the nearest neighbours (Å) after each atom.
Element x y z (fractional)
Cd1 0.0000 0.0000 0.9661  2 Mo 2.91, 8 Cd 3.02-3.22
Cd2 0.5000 0.5000 0.2259  8 Cd 3.02-3.22
Cl1 0.0000 0.0000 0.5683  2 Mo 2.41
Mo1 0.5000 0.5000 0.7397  2 Cl 2.41

Results
Energy above the lowest structure with this stoichiometry in eV/atom: 0.016
Crystal system: orthorhombic